No. 1
Here is an optimized crystal structure of CaSn3F9 from the Alexandria database. Energies are from PBE.

Results
- M_tot: 1.029 μB/f.u.
- Formation energy without anion corrections: -2.616 eV/atom

POSCAR file:
```
CaSn3F9
1.0
-5.4551 -1.8321 -4.6085
-0.5520 -10.8723 -0.9215
-6.4179 -2.6297 2.7452
Ca Sn F
2 6 18
direct
0.0177 0.5199 0.9694 Ca
0.4930 0.0199 0.4694 Ca
0.5431 0.6264 0.7937 Sn
0.0369 0.1264 0.2937 Sn
0.9646 0.8815 0.9997 Sn
0.1541 0.3815 0.4997 Sn
0.5553 0.2073 0.8209 Sn
0.4165 0.7073 0.3209 Sn
0.3166 0.1874 0.2722 F
0.2238 0.6874 0.7722 F
0.3456 0.3944 0.7935 F
0.4665 0.8944 0.2935 F
0.1717 0.9995 0.7349 F
0.0939 0.4995 0.2349 F
0.7014 0.6753 0.0581 F
0.5652 0.1753 0.5581 F
0.8286 0.0335 0.1876 F
0.9503 0.5335 0.6876 F
0.6153 0.8171 0.6350 F
0.9327 0.3171 0.1350 F
0.4007 0.5111 0.3394 F
0.7488 0.0111 0.8394 F
0.8332 0.2876 0.6022 F
0.2771 0.7876 0.1022 F
0.2810 0.1166 0.9714 F
0.6311 0.6166 0.4714 F
```

***

No. 2
Here is an optimized crystal structure of HfCuSe2 from the Alexandria database. Energies are from PBE.

Results
- M_tot: 0.000 μB/f.u.
- Formation energy without anion corrections: -0.715 eV/atom

POSCAR file:
```
HfCuSe2
1.0
0.4789 7.5146 3.1582
3.9701 6.3037 3.3427
2.6664 7.7155 0.1811
Hf Cu Se
1 1 2
direct
0.5000 0.5000 0.5000 Hf
0.0000 0.0000 0.0000 Cu
0.9023 0.9023 0.9023 Se
0.0977 0.0977 0.0977 Se
```

***

No. 3
Here is an optimized crystal structure of AlGaAsBr2 from the Alexandria database. Energies are from PBE.

Results
- M_tot: 0.000 μB/f.u.
- Formation energy without anion corrections: 0.188 eV/atom

POSCAR file:
```
AlGaAsBr2
1.0
-5.2414 -0.6373 2.3436
0.0385 -4.7104 -1.1948
2.4283 -1.2701 5.0854
As Ga Br Al
1 1 2 1
direct
0.0000 0.0000 0.0000 As
0.5000 0.5000 0.5000 Ga
0.0000 0.0000 0.5000 Br
0.5000 0.0000 0.0000 Br
0.0000 0.5000 0.0000 Al
```

***

No. 4
Here is an optimized crystal structure of Dy8TmSn2 from the Alexandria database. Energies are from PBE.

Results
- M_tot: 0.000 μB/f.u.
- Energy of formation: -0.149 eV per atom

POSCAR file:
```
Dy8TmSn2
1.0
5.6964 -0.3644 -0.5470
-1.4464 8.5083 -0.7028
-1.4464 -3.9255 7.5812
Dy Tm Sn
8 1 2
direct
0.8845 0.9068 0.6780 Dy
0.8845 0.6780 0.9068 Dy
0.2973 0.5938 0.5938 Dy
0.5000 0.7796 0.2204 Dy
0.5000 0.2204 0.7796 Dy
0.7027 0.4062 0.4062 Dy
0.1155 0.3220 0.0932 Dy
0.1155 0.0932 0.3220 Dy
0.5000 0.0000 0.0000 Tm
0.0000 0.3056 0.6944 Sn
0.0000 0.6944 0.3056 Sn
```